# KHfBr2

A relaxed structure of KHfBr2 (PBEsol, the Alexandria database).

Structure (POSCAR):
```
KHfBr2
1.0
5.910 0.000 0.000
0.000 5.910 0.000
-2.955 -2.955 8.034
Br K Hf
4 2 2
direct
0.625 0.730 0.750 Br
0.980 0.375 0.250 Br
0.125 0.020 0.750 Br
0.270 0.875 0.250 Br
0.500 0.500 0.000 K
0.750 0.250 0.500 K
0.000 0.000 0.000 Hf
0.250 0.750 0.500 Hf
```

energy relative to the elements, uncorrected = -30.04 kJ/mol of atoms
DOS(E_F) = 0.90 states/eV/atom
space group = I-42d, No. 122
total DFT energy (no corrections) = -4.155 eV/atom

---

# Tl2HgAu

A relaxed structure of Tl2HgAu (PBEsol, the Alexandria database).

Structure (POSCAR):
```
Tl2HgAu
1.0
4.055 0.000 0.000
0.000 4.819 0.000
0.000 0.000 4.882
Hg Tl Au
1 2 1
direct
0.500 0.000 0.500 Hg
0.000 0.000 0.000 Tl
0.000 0.500 0.500 Tl
0.500 0.500 0.000 Au
```

energy above the lowest structure with this stoichiometry = 37 meV/atom
DOS(E_F) = 0.28 states/eV/atom
space group = Pmmm, No. 47
total DFT energy (no corrections) = -2.393 eV/atom
energy of formation = 4.37 kJ/mol of atoms

---

# ZrBe4

A relaxed structure of ZrBe4 (PBEsol, the Alexandria database).

Structure (POSCAR):
```
ZrBe4
1.0
3.582 0.000 0.000
0.000 3.582 0.000
-1.791 -1.791 4.271
Be Zr
4 1
direct
0.622 0.622 0.244 Be
0.378 0.378 0.756 Be
0.750 0.250 0.500 Be
0.250 0.750 0.500 Be
0.000 0.000 0.000 Zr
```

energy above the lowest structure with this stoichiometry = 0 meV/atom
DOS(E_F) = 0.37 states/eV/atom
space group = I4/mmm, No. 139
total DFT energy (no corrections) = -5.201 eV/atom
energy of formation = -17.68 kJ/mol of atoms

---

Please write out number 3 again, unchanged.
# ZrBe4

A relaxed structure of ZrBe4 (PBEsol, the Alexandria database).

Structure (POSCAR):
```
ZrBe4
1.0
3.582 0.000 0.000
0.000 3.582 0.000
-1.791 -1.791 4.271
Be Zr
4 1
direct
0.622 0.622 0.244 Be
0.378 0.378 0.756 Be
0.750 0.250 0.500 Be
0.250 0.750 0.500 Be
0.000 0.000 0.000 Zr
```

energy above the lowest structure with this stoichiometry = 0 meV/atom
DOS(E_F) = 0.37 states/eV/atom
space group = I4/mmm, No. 139
total DFT energy (no corrections) = -5.201 eV/atom
energy of formation = -17.68 kJ/mol of atoms

---

- Number 2 is which compound?
  Tl2HgAu